A plane-wave DFT calculation with PBE-GGA was carried out for a relaxed Nd6Sm4Er crystal.

abc: 6.765 6.765 9.773
angles: 110.25 110.25 90.00
Element x y z (fractional)
Sm1 0.054 0.701 0.754
Nd1 0.000 0.500 0.000
Nd2 0.487 0.866 0.354
Nd3 0.513 0.513 0.646
Nd4 0.866 0.487 0.354
Sm2 0.946 0.946 0.246
Sm3 0.701 0.054 0.754
Sm4 0.299 0.299 0.246
Nd5 0.134 0.134 0.646
Nd6 0.500 0.000 0.000
Er1 0.500 0.500 0.000

Computed properties:
Formation energy from the elements ... 0.2830 eV per atom
Density of states at the Fermi level ... 1.556 states/eV/atom
Spin magnetization ... 0.00 μB per formula unit